The following is a PBE calculation of a geometry-optimized Co4H3Rh structure, from Alexandria via LeMat-Bulk.

The structure in CIF format:
```
data_Co4H3Rh
_symmetry_space_group_name_H-M 'C 1 c 1'
_symmetry_Int_Tables_number 9
_symmetry_space_group_name_Hall 'C -2yc'
_cell_length_a 8.896
_cell_length_b 4.598
_cell_length_c 6.737
_cell_angle_alpha 90.00
_cell_angle_beta 110.85
_cell_angle_gamma 90.00
loop_
_atom_site_label
_atom_site_type_symbol
_atom_site_fract_x
_atom_site_fract_y
_atom_site_fract_z
Co1 Co 0.000 0.161 0.000
Co2 Co 0.096 0.324 0.701
Co3 Co 0.197 0.169 0.397
Co4 Co 0.298 0.334 0.099
H1 H 0.097 0.491 0.958
H2 H 0.193 0.005 0.145
H3 H 0.305 0.491 0.350
Rh1 Rh 0.400 0.163 0.799
```

Values from the calculation:
- DFT total energy: -0.4198 Ry per atom
- Calculated volume: 257.49 Å³/cell
- Magnetic moment: 26.92 μB/cell

---

The following is a PBE calculation of a geometry-optimized CoH2Rh structure, from Alexandria via LeMat-Bulk.

The structure in CIF format:
```
data_CoH2Rh
_symmetry_space_group_name_H-M 'R -3 m'
_symmetry_Int_Tables_number 166
_symmetry_space_group_name_Hall '-R 3 2"'
_cell_length_a 2.8765
_cell_length_b 2.8765
_cell_length_c 14.1397
_cell_angle_alpha 90.00
_cell_angle_beta 90.00
_cell_angle_gamma 120.00
loop_
_atom_site_label
_atom_site_type_symbol
_atom_site_fract_x
_atom_site_fract_y
_atom_site_fract_z
Co1 Co 0.0000 0.0000 0.0000
H1 H 0.0000 0.0000 0.1164
Rh1 Rh 0.0000 0.0000 0.5000
```

Values from the calculation:
- DFT total energy: -0.3753 Ry per atom
- Calculated volume: 101.32 Å³/cell
- Magnetic moment: 5.54 μB/cell

---

The following is a PBE calculation of a geometry-optimized CoHRh2 structure, from Alexandria via LeMat-Bulk.

The structure in CIF format:
```
data_CoHRh2
_symmetry_space_group_name_H-M 'F m -3 m'
_symmetry_Int_Tables_number 225
_symmetry_space_group_name_Hall '-F 4 2 3'
_cell_length_a 5.680
_cell_length_b 5.680
_cell_length_c 5.680
_cell_angle_alpha 90.00
_cell_angle_beta 90.00
_cell_angle_gamma 90.00
loop_
_atom_site_label
_atom_site_type_symbol
_atom_site_fract_x
_atom_site_fract_y
_atom_site_fract_z
Co1 Co 0.000 0.000 0.000
H1 H 0.000 0.000 0.500
Rh1 Rh 0.250 0.250 0.250
```

Values from the calculation:
- Energy above the lowest structure with this stoichiometry: 0.406 eV/atom
- Calculated volume: 183.24 Å³/cell
- Magnetic moment: 12.55 μB/cell

---

The following is a PBE calculation of a geometry-optimized CoHRh2 structure, from Alexandria via LeMat-Bulk.

The structure in CIF format:
```
data_CoHRh2
_symmetry_space_group_name_H-M 'R 3 m'
_symmetry_Int_Tables_number 160
_symmetry_space_group_name_Hall 'R 3 -2"'
_cell_length_a 2.7410
_cell_length_b 2.7410
_cell_length_c 19.6732
_cell_angle_alpha 90.00
_cell_angle_beta 90.00
_cell_angle_gamma 120.00
loop_
_atom_site_label
_atom_site_type_symbol
_atom_site_fract_x
_atom_site_fract_y
_atom_site_fract_z
Co1 Co 0.0000 0.0000 0.0000
H1 H 0.0000 0.0000 0.1637
Rh1 Rh 0.0000 0.0000 0.5635
Rh2 Rh 0.0000 0.0000 0.7707
```

Values from the calculation:
- Energy above the lowest structure with this stoichiometry: 0.000 eV/atom
- Calculated volume: 128.00 Å³/cell
- Magnetic moment: 9.23 μB/cell